Material: K4Rb2SnBi2
Method: DFT, PBE
State: relaxed

The calculation puts the formation energy from the elements at -0.1877 eV/atom. The value obtained for the density of states at the Fermi level is 0.809 states/eV per atom. The calculation puts the theoretical density at 3.33 Mg/m³. For the total energy, the calculation gives -39.6 eV per cell.

The structure belongs to space group C2/m (No. 12); the cell edges are 16.610, 9.477 and 5.850 Å and the angles 90.00°, 110.53° and 90.00°. The inequivalent atoms are K at (0.133, 0.199, 0.134), Rb at (0.137, 0.500, 0.638), Sn at (0.000, 0.000, 0.500) and Bi at (0.209, 0.000, 0.709).

***

Material: KRb2SnBi2
Method: DFT, PBE
State: relaxed

The calculation puts the formation energy from the elements at -0.3136 eV/atom. The value obtained for the density of states at the Fermi level is 0.515 states/eV per atom. The calculation puts the theoretical density at 4.49 Mg/m³. For the total energy, the calculation gives -66.7 eV per cell.

The structure belongs to space group Ibam (No. 72); the cell edges are 8.383, 17.029 and 7.730 Å and the angles 90.00°, 90.00° and 90.00°. The inequivalent atoms are K at (0.000, 0.000, 0.250), Rb at (0.219, 0.326, 0.000), Sn at (0.000, 0.500, 0.250) and Bi at (0.205, 0.397, 0.500).